No. 1
DFT (PBE-GGA) results for Ho12Er7Al after structural relaxation.

Results
- total moment (μB per formula unit) = 0.007
- ΔE_f (eV per atom) = 0.1923
- E (eV/f.u.) = -86.77

Lattice parameters (Å, degrees): 11.8618 11.8618 15.3299 90.00 90.00 120.00
Last column: nearest neighbours and their distance in Å.
Space group R-3 (No. 148, hexagonal axes)
Unique sites:
Ho (0.0380, 0.4590, 0.2122) (multiplicity 18)  1 Al 3.19, 5 Ho 3.24-3.42, 1 Er 3.53
Ho (0.0558, 0.5851, 0.5860) (multiplicity 18)  4 Ho 3.18-3.42, 2 Er 3.18-3.45
Er (0.0000, 0.0000, 0.0000) (multiplicity 3)  6 Ho 3.18
Er (0.0544, 0.1878, 0.3002) (multiplicity 18)  3 Er 3.29-3.44, 5 Ho 3.45-3.63, 1 Al 3.65
Al (0.0000, 0.0000, 0.5000) (multiplicity 3)  6 Ho 3.19

=====

No. 2
DFT (PBE-GGA) results for Ho2Er4Al after structural relaxation.

Results
- total moment (μB per formula unit) = 1.401
- ΔE_f (eV per atom) = -0.0447
- E (eV/f.u.) = -31.46

Lattice parameters (Å, degrees): 3.5727 3.5727 55.9976 90.00 90.00 120.00
Last column: nearest neighbours and their distance in Å.
Space group R-3m (No. 166, hexagonal axes)
Unique sites:
Ho (0.0000, 0.0000, 0.1919) (multiplicity 6)  3 Er 3.49, 9 Ho 3.50-3.57
Er (0.0000, 0.0000, 0.0912) (multiplicity 6)  3 Ho 3.49, 9 Er 3.53-3.57
Er (0.0000, 0.0000, 0.2934) (multiplicity 6)  3 Al 3.04
Al (0.0000, 0.0000, 0.0000) (multiplicity 3)  6 Er 3.04

=====

No. 3
DFT (PBE-GGA) results for Ho2Er3Al2 after structural relaxation.

Results
- total moment (μB per formula unit) = 0.000
- ΔE_f (eV per atom) = -0.2087
- E (eV/f.u.) = -31.79

Lattice parameters (Å, degrees): 5.2289 5.2289 23.2179 90.00 90.00 120.00
Last column: nearest neighbours and their distance in Å.
Space group R-3m (No. 166, hexagonal axes)
Unique sites:
Ho (0.0000, 0.0000, 0.0819) (multiplicity 6)  4 Al 3.12-3.16, 3 Er 3.40
Er (0.0000, 0.0000, 0.3475) (multiplicity 6)  1 Al 3.01, 3 Er 3.09
Er (0.0000, 0.0000, 0.5000) (multiplicity 3)  6 Al 3.24, 2 Er 3.54, 6 Ho 3.60
Al (0.0000, 0.0000, 0.2179) (multiplicity 6)  4 Er 3.01-3.24, 4 Ho 3.12-3.16

=====

No. 4
DFT (PBE-GGA) results for Ho2Er2Al after structural relaxation.

Results
- total moment (μB per formula unit) = 0.000
- ΔE_f (eV per atom) = -0.1355
- E (eV/f.u.) = -22.70

Lattice parameters (Å, degrees): 12.4065 3.6460 8.7512 90.00 134.56 90.00
Last column: nearest neighbours and their distance in Å.
Space group C2/m (No. 12)
Unique sites:
Ho (0.0842, 0.0000, 0.3569) (multiplicity 4)  2 Al 3.10
Er (0.2323, 0.5000, 0.8180) (multiplicity 4)  2 Al 3.08, 2 Er 3.42
Al (0.0000, 0.5000, 0.0000) (multiplicity 2)  4 Er 3.08, 4 Ho 3.10

=====

No. 5
DFT (PBE-GGA) results for HoEr2Al3 after structural relaxation.

Results
- total moment (μB per formula unit) = 0.000
- ΔE_f (eV per atom) = -0.3955
- E (eV/f.u.) = -27.30

Lattice parameters (Å, degrees): 3.5597 3.5597 10.7831 90.00 90.00 90.00
Last column: nearest neighbours and their distance in Å.
Space group P4/mmm (No. 123)
Unique sites:
Ho (0.0000, 0.0000, 0.0000) (multiplicity 1)  8 Al 3.10
Er (0.0000, 0.0000, 0.3340) (multiplicity 2)  8 Al 3.09
Al (0.5000, 0.5000, 0.1682) (multiplicity 2)  4 Er 3.09, 4 Ho 3.10
Al (0.5000, 0.5000, 0.5000) (multiplicity 1)  8 Er 3.09

=====

No. 6
DFT (PBE-GGA) results for Ho4Er5Al after structural relaxation.

Results
- total moment (μB per formula unit) = 0.001
- ΔE_f (eV per atom) = -0.0625
- E (eV/f.u.) = -45.49

Lattice parameters (Å, degrees): 3.5030 3.5030 23.8778 90.00 90.00 90.00
Last column: nearest neighbours and their distance in Å.
Space group P4/mmm (No. 123)
Unique sites:
Ho (0.0000, 0.0000, 0.1047) (multiplicity 2)  4 Ho 3.50, 8 Er 3.52-3.53
Ho (0.0000, 0.0000, 0.3142) (multiplicity 2)  4 Ho 3.50, 8 Er 3.51-3.55
Er (0.5000, 0.5000, 0.0000) (multiplicity 1)  4 Er 3.50, 8 Ho 3.52
Er (0.5000, 0.5000, 0.2098) (multiplicity 2)  4 Er 3.50, 8 Ho 3.51-3.53
Er (0.5000, 0.5000, 0.4207) (multiplicity 2)  4 Al 3.12
Al (0.0000, 0.0000, 0.5000) (multiplicity 1)  8 Er 3.12

=====

No. 7
DFT (PBE-GGA) results for Ho2ErAl after structural relaxation.

Results
- total moment (μB per formula unit) = 0.000
- ΔE_f (eV per atom) = -0.1863
- E (eV/f.u.) = -18.21

Lattice parameters (Å, degrees): 3.4871 3.4871 8.9696 90.00 90.00 90.00
Last column: nearest neighbours and their distance in Å.
Space group P4/mmm (No. 123)
Unique sites:
Ho (0.0000, 0.0000, 0.2154) (multiplicity 2)  4 Al 3.13, 4 Ho 3.49
Er (0.5000, 0.5000, 0.5000) (multiplicity 1)  4 Er 3.49, 8 Ho 3.55
Al (0.5000, 0.5000, 0.0000) (multiplicity 1)  8 Ho 3.13, 4 Al 3.49

=====

No. 8
DFT (PBE-GGA) results for HoEr2Al after structural relaxation.

Results
- total moment (μB per formula unit) = 0.671
- ΔE_f (eV per atom) = -0.0781
- E (eV/f.u.) = -17.76

Lattice parameters (Å, degrees): 3.5446 3.5446 30.9682 90.00 90.00 120.00
Last column: nearest neighbours and their distance in Å.
Space group R3m (No. 160, hexagonal axes)
Unique sites:
Ho (0.0000, 0.0000, 0.0000) (multiplicity 3)  6 Er 3.54-3.56, 6 Ho 3.54
Er (0.0000, 0.0000, 0.5728) (multiplicity 3)  3 Al 3.06
Er (0.0000, 0.0000, 0.7599) (multiplicity 3)  3 Al 3.05
Al (0.0000, 0.0000, 0.1660) (multiplicity 3)  6 Er 3.05-3.06

=====

No. 9
DFT (PBE-GGA) results for Ho12Er3Al after structural relaxation.

Results
- total moment (μB per formula unit) = 0.000
- ΔE_f (eV per atom) = -0.0199
- E (eV/f.u.) = -72.68

Lattice parameters (Å, degrees): 4.9010 4.9010 19.8670 90.00 90.00 90.00
Last column: nearest neighbours and their distance in Å.
Space group P4/mmm (No. 123)
Unique sites:
Ho (0.0000, 0.0000, 0.0000) (multiplicity 1)  8 Ho 3.39, 4 Al 3.47
Ho (0.0000, 0.0000, 0.2431) (multiplicity 2)  4 Er 3.47, 8 Ho 3.49-3.55
Ho (0.0000, 0.0000, 0.5000) (multiplicity 1)  4 Er 3.47, 8 Ho 3.53
Ho (0.0000, 0.5000, 0.1178) (multiplicity 4)  8 Ho 3.39-3.49, 2 Al 3.39, 2 Er 3.54
Ho (0.0000, 0.5000, 0.3724) (multiplicity 4)  8 Ho 3.47-3.55, 4 Er 3.50-3.53
Er (0.5000, 0.5000, 0.2465) (multiplicity 2)  12 Ho 3.47-3.54
Er (0.5000, 0.5000, 0.5000) (multiplicity 1)  12 Ho 3.47-3.53
Al (0.5000, 0.5000, 0.0000) (multiplicity 1)  12 Ho 3.39-3.47

=====

No. 10
DFT (PBE-GGA) results for HoEr4Al5 after structural relaxation.

Results
- total moment (μB per formula unit) = 0.000
- ΔE_f (eV per atom) = -0.3923
- E (eV/f.u.) = -45.47

Lattice parameters (Å, degrees): 3.5523 3.5523 18.0254 90.00 90.00 90.00
Last column: nearest neighbours and their distance in Å.
Space group P4/mmm (No. 123)
Unique sites:
Ho (0.0000, 0.0000, 0.0000) (multiplicity 1)  8 Al 3.10
Er (0.0000, 0.0000, 0.2010) (multiplicity 2)  8 Al 3.09
Er (0.0000, 0.0000, 0.4004) (multiplicity 2)  8 Al 3.09
Al (0.5000, 0.5000, 0.1013) (multiplicity 2)  4 Er 3.09, 4 Ho 3.10
Al (0.5000, 0.5000, 0.3007) (multiplicity 2)  8 Er 3.09
Al (0.5000, 0.5000, 0.5000) (multiplicity 1)  8 Er 3.09

=====

No. 11
DFT (PBE-GGA) results for Ho2Er3Al2 after structural relaxation.

Results
- total moment (μB per formula unit) = 0.045
- ΔE_f (eV per atom) = -0.1570
- E (eV/f.u.) = -31.43

Lattice parameters (Å, degrees): 3.4140 31.9513 3.4334 90.00 90.00 90.00
Last column: nearest neighbours and their distance in Å.
Space group Cmmm (No. 65)
Unique sites:
Ho (0.0000, 0.2027, 0.0000) (multiplicity 4)  6 Ho 3.41-3.47, 4 Er 3.52
Er (0.0000, 0.3773, 0.5000) (multiplicity 4)  4 Al 3.11, 4 Er 3.41-3.43
Er (0.0000, 0.5000, 0.5000) (multiplicity 2)  8 Al 3.12, 4 Er 3.41-3.43
Al (0.0000, 0.0615, 0.0000) (multiplicity 4)  8 Er 3.11-3.12, 4 Al 3.41-3.43

=====

No. 12
DFT (PBE-GGA) results for Ho4Er9Al11 after structural relaxation.

Results
- total moment (μB per formula unit) = 0.000
- ΔE_f (eV per atom) = -0.3268
- E (eV/f.u.) = -108.39

Lattice parameters (Å, degrees): 15.2143 22.2808 3.3283 90.00 90.00 90.00
Last column: nearest neighbours and their distance in Å.
Space group Cmmm (No. 65)
Unique sites:
Ho (0.1769, 0.0825, 0.0000) (multiplicity 8)  6 Al 3.12-3.28, 3 Er 3.26-3.30, 2 Ho 3.33
Er (0.0000, 0.0000, 0.0000) (multiplicity 2)  4 Al 3.16, 4 Ho 3.26, 2 Er 3.33
Er (0.1073, 0.4032, 0.0000) (multiplicity 8)  8 Al 3.05-3.18, 3 Er 3.26-3.33, 1 Ho 3.30
Er (0.1119, 0.2238, 0.0000) (multiplicity 8)  8 Al 3.08-3.31, 1 Ho 3.30, 3 Er 3.33-3.40
Al (0.0000, 0.1207, 0.5000) (multiplicity 4)  6 Er 3.16-3.31, 4 Ho 3.28, 2 Al 3.33
Al (0.0000, 0.3115, 0.5000) (multiplicity 4)  8 Er 3.08-3.10, 4 Al 3.33-3.42
Al (0.0000, 0.5000, 0.5000) (multiplicity 2)  4 Al 3.02-3.33, 8 Er 3.18
Al (0.1982, 0.5000, 0.5000) (multiplicity 4)  3 Al 3.02-3.33, 4 Er 3.05, 4 Ho 3.12
Al (0.2249, 0.3134, 0.5000) (multiplicity 8)  1 Al 2.92, 6 Er 3.10-3.16, 2 Ho 3.22

=====

Please write out number 6 again, unchanged.
DFT (PBE-GGA) results for Ho4Er5Al after structural relaxation.

Results
- total moment (μB per formula unit) = 0.001
- ΔE_f (eV per atom) = -0.0625
- E (eV/f.u.) = -45.49

Lattice parameters (Å, degrees): 3.5030 3.5030 23.8778 90.00 90.00 90.00
Last column: nearest neighbours and their distance in Å.
Space group P4/mmm (No. 123)
Unique sites:
Ho (0.0000, 0.0000, 0.1047) (multiplicity 2)  4 Ho 3.50, 8 Er 3.52-3.53
Ho (0.0000, 0.0000, 0.3142) (multiplicity 2)  4 Ho 3.50, 8 Er 3.51-3.55
Er (0.5000, 0.5000, 0.0000) (multiplicity 1)  4 Er 3.50, 8 Ho 3.52
Er (0.5000, 0.5000, 0.2098) (multiplicity 2)  4 Er 3.50, 8 Ho 3.51-3.53
Er (0.5000, 0.5000, 0.4207) (multiplicity 2)  4 Al 3.12
Al (0.0000, 0.0000, 0.5000) (multiplicity 1)  8 Er 3.12